# CuSiRh2 | Alexandria via LeMat-Bulk | PBE-GGA | relaxed
data_CuSiRh2
_chemical_formula_sum 'Cu1 Si1 Rh2'
_cell_length_a 4.2376
_cell_length_b 4.2376
_cell_length_c 4.2376
_cell_angle_alpha 60.00
_cell_angle_beta 60.00
_cell_angle_gamma 60.00
_space_group_name_H-M_alt 'P 1'
_space_group_IT_number 1
loop_
_space_group_symop_operation_xyz
'x,y,z'
loop_
_atom_site_label
_atom_site_fract_x
_atom_site_fract_y
_atom_site_fract_z
Cu1 0.5000 0.5000 0.5000
Rh1 0.0000 0.0000 0.0000
Rh2 0.7500 0.7500 0.7500
Si1 0.2500 0.2500 0.2500
# Uncorrected formation energy   -113 meV/atom
# Electronic total energy   -24.67 eV per cell

# Dy4Ag3Au2 | Alexandria via LeMat-Bulk | PBE-GGA | relaxed
data_Dy4Ag3Au2
_chemical_formula_sum 'Dy4 Ag3 Au2'
_cell_length_a 4.9781
_cell_length_b 4.9778
_cell_length_c 9.6715
_cell_angle_alpha 89.99
_cell_angle_beta 90.00
_cell_angle_gamma 60.00
_space_group_name_H-M_alt 'P 1'
_space_group_IT_number 1
loop_
_space_group_symop_operation_xyz
'x,y,z'
loop_
_atom_site_label
_atom_site_fract_x
_atom_site_fract_y
_atom_site_fract_z
Dy1 0.6666 0.6668 0.8829
Dy2 0.0003 0.9995 0.3358
Dy3 0.9997 0.0005 0.6642
Dy4 0.3334 0.3332 0.1171
Ag1 0.3333 0.3333 0.4966
Ag2 0.0000 0.0000 0.0000
Ag3 0.6667 0.6667 0.5034
Au1 0.3332 0.3336 0.8086
Au2 0.6668 0.6664 0.1914
# Electronic total energy   -37.98 eV per cell
# Energy of formation   -0.496 eV/atom